Entry 1:
VASP calculation (PBE-GGA) on a geometry-optimized CaAsPbO4 structure.

Summary:
**Energy relative to the elements, uncorrected**: -1.626 eV/atom

Cell lengths 6.3505, 6.7347, 6.7347 Å; angles 65.02, 61.87, 61.87 degrees
Sites, in units of the cell vectors:
Ca 0.0000 0.0000 0.0000
Ca 0.0000 0.5000 0.5000
As 0.6343 0.6157 0.1157
As 0.3657 0.3843 0.8843
Pb 0.5000 0.0000 0.5000
Pb 0.0000 0.0000 0.5000
O 0.7385 0.7116 0.8114
O 0.2615 0.6886 0.7884
O 0.7385 0.3114 0.2116
O 0.2615 0.2884 0.1886
O 0.2965 0.7285 0.2285
O 0.7465 0.7285 0.2285
O 0.2535 0.2715 0.7715
O 0.7035 0.2715 0.7715

=====

Entry 2:
VASP calculation (PBE-GGA) on a geometry-optimized Ba2H3F structure.

Cell lengths 4.1065, 6.7965, 7.9117 Å; angles 90.00, 90.00, 90.00 degrees
Sites, in units of the cell vectors:
Ba 0.5000 0.7560 0.8631
Ba 0.5000 0.2560 0.1369
Ba 0.0000 0.2436 0.6325
Ba 0.0000 0.7436 0.3675
H 0.0000 0.4670 0.9274
H 0.0000 0.9670 0.0726
H 0.5000 0.6432 0.1797
H 0.5000 0.1432 0.8203
H 0.0000 0.3602 0.3180
H 0.0000 0.8602 0.6820
F 0.5000 0.5300 0.5781
F 0.5000 0.0300 0.4219

=====

Entry 3:
VASP calculation (PBE-GGA) on a geometry-optimized AcThP2 structure.

Summary:
**Polymorph energy (0 for the lowest one)**: 429.1 meV/atom
**ΔE_f**: -1.08 eV per atom

Cell lengths 5.1549, 5.1549, 5.1549 Å; angles 60.00, 60.00, 60.00 degrees
Sites, in units of the cell vectors:
P 0.2500 0.2500 0.2500
P 0.7500 0.7500 0.7500
Ac 0.5000 0.5000 0.5000
Th 0.0000 0.0000 0.0000

=====

Entry 4:
VASP calculation (PBE-GGA) on a geometry-optimized KDyAgBr6 structure.

Summary:
**Energy relative to the elements, uncorrected**: -1.279 eV/atom

Cell lengths 7.6031, 7.0943, 7.3597 Å; angles 87.51, 85.41, 57.62 degrees
Site moments in Bohr magnetons follow the coordinates.
Sites, in units of the cell vectors:
K 0.0100 0.9797 0.0009  0.00
Dy 0.6799 0.6405 0.5001  -0.01
Ag 0.3332 0.3334 0.5001  0.26
Br 0.9890 0.3733 0.2471  0.02
Br 0.3781 0.0103 0.7258  0.13
Br 0.6393 0.3711 0.7519  0.02
Br 0.9925 0.6404 0.6921  0.10
Br 0.3674 0.6402 0.3079  0.10
Br 0.6103 0.0111 0.2740  0.13

=====

| no. | DFT total energy (eV/atom) | Fermi-level density of states (states/eV/f.u.) | ρ (kg/m³) |
| --- | --- | --- | --- |
| 1 | -5.9387 | 0.5 | 5925 |
| 2 | -3.9616 | 0.0 | 4462 |
| 3 | -6.6648 | 2.7 | 8932 |
| 4 | -3.3439 | 3.0 | 3920 |